VASP calculation (GGA-PBE) on an optimized crystal structure of BaDyPt2.

abc: 3.6177 3.6177 7.5938
angles: 90.00 90.00 90.00
Closest atoms and distances in Å follow each position.
Element x y z (fractional)
Pt (0.0000, 0.0000, 0.8012)  4 Dy 2.97, 1 Pt 3.02
Pt (0.0000, 0.0000, 0.1988)  4 Dy 2.97, 1 Pt 3.02
Dy (0.5000, 0.5000, 0.0000)  8 Pt 2.97
Ba (0.5000, 0.5000, 0.5000)  8 Pt 3.43, 4 Ba 3.62, 2 Dy 3.80

Output
**Energy above the most stable polymorph in this dataset**: 0.0 kJ/mol of formula units
**ΔH_f (0 K)**: -0.965 eV per atom

=====

VASP calculation (GGA-PBE) on an optimized crystal structure of BaDy3Pt.

abc: 5.6065 5.6065 5.6065
angles: 90.00 90.00 90.00
Closest atoms and distances in Å follow each position.
Element x y z (fractional)
Pt (0.0000, 0.0000, 0.0000)  6 Dy 2.80
Dy (0.5000, 0.0000, 0.0000)  2 Pt 2.80
Dy (0.0000, 0.5000, 0.0000)  2 Pt 2.80
Dy (0.0000, 0.0000, 0.5000)  2 Pt 2.80
Ba (0.5000, 0.5000, 0.5000)  12 Dy 3.96

Output
**ΔH_f (0 K)**: -0.400 eV per atom

=====

VASP calculation (GGA-PBE) on an optimized crystal structure of BaDyPt10.

abc: 4.4201 5.4930 9.4746
angles: 90.00 90.00 90.00
Closest atoms and distances in Å follow each position.
Element x y z (fractional)
Pt (0.0000, 0.5000, 0.1798)  6 Pt 2.70-2.79
Pt (0.5000, 0.5000, 0.0000)  8 Pt 2.79-2.80
Pt (0.5000, 0.7458, 0.7413)  8 Pt 2.68-2.80
Pt (0.5000, 0.7458, 0.2587)  8 Pt 2.68-2.80
Pt (0.0000, 0.0000, 0.6581)  6 Pt 2.67-2.73
Pt (0.0000, 0.5000, 0.8202)  6 Pt 2.70-2.79
Pt (0.5000, 0.2542, 0.2587)  8 Pt 2.68-2.80
Pt (0.0000, 0.0000, 0.3419)  6 Pt 2.67-2.73
Pt (0.5000, 0.0000, 0.5000)  8 Pt 2.67-2.68
Pt (0.5000, 0.2542, 0.7413)  8 Pt 2.68-2.80
Dy (0.0000, 0.5000, 0.5000)  6 Pt 3.03-3.13
Ba (0.0000, 0.0000, 0.0000)  18 Pt 3.23-3.58

Output
**ΔH_f (0 K)**: -0.592 eV per atom

=====

VASP calculation (GGA-PBE) on an optimized crystal structure of BaDyPt2.

abc: 4.6823 4.6853 6.4867
angles: 68.81 68.84 60.02
Closest atoms and distances in Å follow each position.
Element x y z (fractional)
Pt (0.2849, 0.7851, 0.6451)  3 Dy 2.84
Pt (0.7151, 0.2149, 0.3549)  3 Dy 2.84
Dy (0.0000, 0.5000, 0.5000)  6 Pt 2.84
Ba (0.5000, 0.0000, 0.0000)  8 Pt 3.42-3.80

Output
**Energy above the most stable polymorph in this dataset**: 25.1 kJ/mol of formula units
**ΔH_f (0 K)**: -0.900 eV per atom

=====

VASP calculation (GGA-PBE) on an optimized crystal structure of BaDy2Pt9.

abc: 5.5208 5.5208 9.3574
angles: 72.84 72.84 60.00
Closest atoms and distances in Å follow each position.
Element x y z (fractional)
Pt (0.5000, 0.5000, 0.5000)  6 Pt 2.66
Pt (0.0815, 0.5892, 0.7401)  7 Pt 2.66-2.83
Pt (0.5892, 0.5892, 0.7401)  7 Pt 2.66-2.83
Pt (0.9185, 0.4108, 0.2599)  7 Pt 2.66-2.83
Pt (0.4108, 0.9185, 0.2599)  7 Pt 2.66-2.83
Pt (0.3320, 0.3320, 0.0041)  6 Pt 2.74-2.83
Pt (0.4108, 0.4108, 0.2599)  7 Pt 2.66-2.83
Pt (0.5892, 0.0815, 0.7401)  7 Pt 2.66-2.83
Pt (0.6680, 0.6680, 0.9959)  6 Pt 2.74-2.83
Dy (0.1408, 0.1408, 0.5776)  12 Pt 3.11-3.26, 3 Dy 3.47
Dy (0.8592, 0.8592, 0.4224)  12 Pt 3.11-3.26, 3 Dy 3.47
Ba (0.0000, 0.0000, 0.0000)  6 Pt 3.19

Output
**ΔH_f (0 K)**: -0.842 eV per atom

=====

VASP calculation (GGA-PBE) on an optimized crystal structure of BaDyPt.

abc: 3.7160 3.7160 7.3587
angles: 104.62 104.62 90.00
Closest atoms and distances in Å follow each position.
Element x y z (fractional)
Pt (0.6918, 0.6918, 0.3837)  4 Dy 2.90
Ba (0.0268, 0.0268, 0.0536)  4 Pt 3.47, 1 Dy 3.50, 4 Ba 3.72
Dy (0.2814, 0.2814, 0.5627)  4 Pt 2.90

Output
**ΔH_f (0 K)**: -0.655 eV per atom

=====

VASP calculation (GGA-PBE) on an optimized crystal structure of Ba2DySi3Pt12.

abc: 7.9085 7.9085 7.9085
angles: 64.74 64.74 64.74
Closest atoms and distances in Å follow each position.
Element x y z (fractional)
Pt (0.6073, 0.1343, 0.1343)  1 Si 2.34
Pt (0.1343, 0.1343, 0.6073)  1 Si 2.34
Pt (0.3419, 0.9113, 0.3419)  2 Si 2.37
Pt (0.8657, 0.3927, 0.8657)  1 Si 2.34
Pt (0.6581, 0.0887, 0.6581)  2 Si 2.37
Pt (0.3419, 0.3419, 0.9113)  2 Si 2.37
Pt (0.9113, 0.3419, 0.3419)  2 Si 2.37
Pt (0.1343, 0.6073, 0.1343)  1 Si 2.34
Pt (0.0887, 0.6581, 0.6581)  2 Si 2.37
Pt (0.8657, 0.8657, 0.3927)  1 Si 2.34
Pt (0.6581, 0.6581, 0.0887)  2 Si 2.37
Pt (0.3927, 0.8657, 0.8657)  1 Si 2.34
Si (0.5000, 0.0000, 0.0000)  6 Pt 2.34-2.37
Si (0.0000, 0.0000, 0.5000)  6 Pt 2.34-2.37
Si (0.0000, 0.5000, 0.0000)  6 Pt 2.34-2.37
Ba (0.3980, 0.3980, 0.3980)  6 Pt 3.04-3.08
Ba (0.6020, 0.6020, 0.6020)  6 Pt 3.04-3.08
Dy (0.0000, 0.0000, 0.0000)  6 Pt 2.69

=====

VASP calculation (GGA-PBE) on an optimized crystal structure of BaDySi2Pt4.

abc: 4.0750 4.0750 10.6344
angles: 90.00 90.00 90.00
Closest atoms and distances in Å follow each position.
Element x y z (fractional)
Pt (0.0000, 0.5000, 0.2011)  2 Si 2.37
Pt (0.0000, 0.5000, 0.7989)  2 Si 2.37
Pt (0.5000, 0.0000, 0.2011)  2 Si 2.37
Pt (0.5000, 0.0000, 0.7989)  2 Si 2.37
Dy (0.0000, 0.0000, 0.0000)  8 Pt 2.95
Si (0.5000, 0.5000, 0.6842)  4 Pt 2.37
Si (0.5000, 0.5000, 0.3158)  4 Pt 2.37
Ba (0.0000, 0.0000, 0.5000)  8 Si 3.48, 8 Pt 3.78

=====

VASP calculation (GGA-PBE) on an optimized crystal structure of BaDy2Pu.

abc: 3.5697 3.5697 12.8510
angles: 82.02 82.02 60.00
Closest atoms and distances in Å follow each position.
Element x y z (fractional)
Dy (0.0951, 0.0951, 0.7147)  3 Pu 3.41, 6 Dy 3.57, 1 Ba 3.62
Dy (0.9049, 0.9049, 0.2853)  3 Pu 3.41, 6 Dy 3.57, 1 Ba 3.62
Pu (0.5000, 0.5000, 0.5000)  6 Dy 3.41, 6 Pu 3.57
Ba (0.0000, 0.0000, 0.0000)  6 Ba 3.57, 2 Dy 3.62

Output
**ΔH_f (0 K)**: 0.318 eV per atom

=====

VASP calculation (GGA-PBE) on an optimized crystal structure of BaDyRh2.

abc: 3.5005 3.5005 7.6364
angles: 90.00 90.00 90.00
Closest atoms and distances in Å follow each position.
Element x y z (fractional)
Rh (0.0000, 0.0000, 0.7968)  4 Dy 2.92, 1 Rh 3.10
Rh (0.0000, 0.0000, 0.2032)  4 Dy 2.92, 1 Rh 3.10
Ba (0.5000, 0.5000, 0.5000)  8 Rh 3.36, 4 Ba 3.50
Dy (0.5000, 0.5000, 0.0000)  8 Rh 2.92

Output
**ΔH_f (0 K)**: -0.410 eV per atom

=====

VASP calculation (GGA-PBE) on an optimized crystal structure of BaDy3Rh.

abc: 5.5463 5.5463 5.5463
angles: 90.00 90.00 90.00
Closest atoms and distances in Å follow each position.
Element x y z (fractional)
Dy (0.5000, 0.0000, 0.0000)  2 Rh 2.77
Dy (0.0000, 0.0000, 0.5000)  2 Rh 2.77
Dy (0.0000, 0.5000, 0.0000)  2 Rh 2.77
Rh (0.0000, 0.0000, 0.0000)  6 Dy 2.77
Ba (0.5000, 0.5000, 0.5000)  12 Dy 3.92

Output
**ΔH_f (0 K)**: -0.268 eV per atom

=====

VASP calculation (GGA-PBE) on an optimized crystal structure of BaDyS2.

abc: 4.0505 4.0505 7.7829
angles: 74.92 74.92 60.00
Closest atoms and distances in Å follow each position.
Element x y z (fractional)
S (0.0696, 0.0696, 0.7913)  3 Dy 2.77
S (0.2650, 0.2650, 0.2051)  3 Dy 2.82
Ba (0.4961, 0.4961, 0.5117)  6 S 3.13-3.26
Dy (0.6694, 0.6694, 0.9919)  6 S 2.77-2.82

Output
**Energy above the most stable polymorph in this dataset**: 25.5 kJ/mol of formula units

=====

VASP calculation (GGA-PBE) on an optimized crystal structure of Ba2DyS3.

abc: 4.2911 5.2164 8.9954
angles: 106.85 103.80 90.00
Closest atoms and distances in Å follow each position.
Element x y z (fractional)
S (0.8381, 0.8381, 0.6762)  1 Dy 2.70
S (0.1619, 0.1619, 0.3238)  1 Dy 2.70
S (0.0000, 0.5000, 0.0000)  2 Dy 2.61
Ba (0.3505, 0.3505, 0.7011)  7 S 3.15-3.38
Ba (0.6495, 0.6495, 0.2989)  7 S 3.15-3.38
Dy (0.0000, 0.0000, 0.0000)  4 S 2.61-2.70

=====

VASP calculation (GGA-PBE) on an optimized crystal structure of BaDyS2.

abc: 4.1118 4.1118 7.5253
angles: 74.22 74.22 59.98
Closest atoms and distances in Å follow each position.
Element x y z (fractional)
S (0.7363, 0.7363, 0.7914)  3 Dy 2.80
S (0.2637, 0.2637, 0.2086)  3 Dy 2.80
Dy (0.0000, 0.0000, 0.0000)  6 S 2.80
Ba (0.5000, 0.5000, 0.5000)  6 S 3.16

Output
**Energy above the most stable polymorph in this dataset**: 0.0 kJ/mol of formula units

=====

VASP calculation (GGA-PBE) on an optimized crystal structure of BaDySc4S8.

abc: 7.8601 7.8601 8.0268
angles: 60.68 60.68 60.00
Closest atoms and distances in Å follow each position.
Element x y z (fractional)
S (0.2385, 0.2385, 0.7150)  2 Sc 2.54, 1 Dy 2.69
S (0.7565, 0.7565, 0.7306)  4 Sc 2.59-2.75
S (0.8081, 0.2385, 0.7150)  2 Sc 2.54, 1 Dy 2.69
S (0.7522, 0.7522, 0.2617)  3 Sc 2.53-2.75, 1 Dy 2.81
S (0.2340, 0.7522, 0.2617)  3 Sc 2.53-2.75, 1 Dy 2.81
S (0.7522, 0.2340, 0.2617)  3 Sc 2.53-2.75, 1 Dy 2.81
S (0.2262, 0.2262, 0.3214)  3 Sc 2.54, 1 Ba 2.83
S (0.2385, 0.8081, 0.7150)  2 Sc 2.54, 1 Dy 2.69
Sc (0.4953, 0.0010, 0.5026)  6 S 2.54-2.75
Sc (0.6260, 0.6260, 0.1220)  4 S 2.53-2.59
Sc (0.0010, 0.4953, 0.5026)  6 S 2.54-2.75
Sc (0.0010, 0.0010, 0.5026)  6 S 2.54-2.75
Ba (0.3688, 0.3688, 0.8937)  4 S 2.83-2.84
Dy (0.0018, 0.0018, 0.9946)  6 S 2.69-2.81

=====

VASP calculation (GGA-PBE) on an optimized crystal structure of Ba2DyScS5.

abc: 4.2207 8.7947 13.3973
angles: 90.00 90.00 103.88
Closest atoms and distances in Å follow each position.
Element x y z (fractional)
S (0.5096, 0.0191, 0.2788)  1 Sc 2.42
S (0.3229, 0.6457, 0.3870)  1 Sc 2.70, 2 Dy 2.81
S (0.0515, 0.1030, 0.0464)  2 Sc 2.49, 1 Dy 2.77
S (0.6771, 0.3543, 0.8870)  1 Sc 2.70, 2 Dy 2.81
S (0.9485, 0.8970, 0.5464)  2 Sc 2.49, 1 Dy 2.77
S (0.7168, 0.4335, 0.1513)  2 Dy 2.77, 1 Ba 3.07
S (0.3726, 0.7451, 0.9980)  1 Sc 2.72, 1 Dy 2.75
S (0.6274, 0.2549, 0.4980)  1 Sc 2.72, 1 Dy 2.75
S (0.4904, 0.9809, 0.7788)  1 Sc 2.42
S (0.2832, 0.5665, 0.6513)  2 Dy 2.77, 1 Ba 3.07
Ba (0.1055, 0.2111, 0.6863)  6 S 3.07-3.31
Ba (0.8945, 0.7889, 0.1863)  6 S 3.07-3.31
Ba (0.8566, 0.7133, 0.8056)  7 S 3.13-3.34
Ba (0.1434, 0.2867, 0.3056)  7 S 3.13-3.34
Dy (0.2123, 0.4247, 0.0174)  6 S 2.75-2.81
Dy (0.7877, 0.5753, 0.5174)  6 S 2.75-2.81
Sc (0.5276, 0.0553, 0.9531)  4 S 2.42-2.70
Sc (0.4724, 0.9447, 0.4531)  4 S 2.42-2.70

=====

VASP calculation (GGA-PBE) on an optimized crystal structure of Ba3Sm3DyS8.

abc: 8.2401 8.2346 8.6942
angles: 118.24 90.01 119.99
Closest atoms and distances in Å follow each position.
Element x y z (fractional)
Sm (0.5000, 0.0000, 0.5000)  6 S 2.84-2.85
Sm (0.5000, 0.5000, 0.5000)  6 S 2.84-2.86
Sm (0.0000, 0.5000, 0.5000)  6 S 2.84-2.86
S (0.2330, 0.4660, 0.7091)  1 Dy 2.78, 2 Sm 2.84
S (0.7431, 0.9761, 0.7092)  1 Dy 2.78, 2 Sm 2.84
S (0.7668, 0.0240, 0.2907)  1 Dy 2.79, 2 Sm 2.84
S (0.2569, 0.0239, 0.2908)  1 Dy 2.78, 2 Sm 2.84
S (0.2610, 0.5221, 0.2830)  3 Sm 2.85-2.86, 3 Ba 3.15
S (0.7670, 0.5340, 0.2909)  1 Dy 2.78, 2 Sm 2.84
S (0.2332, 0.9760, 0.7093)  1 Dy 2.79, 2 Sm 2.84
S (0.7390, 0.4779, 0.7170)  3 Sm 2.85-2.86, 3 Ba 3.15
Dy (0.0000, 0.0000, 0.5000)  6 S 2.78-2.79
Ba (0.0000, 0.0000, 0.0000)  6 S 3.15-3.17
Ba (0.5000, 0.5000, 0.0000)  6 S 3.15-3.17
Ba (0.0000, 0.5000, 0.0000)  6 S 3.15-3.17

=====

VASP calculation (GGA-PBE) on an optimized crystal structure of Ba2SrDyS4.

abc: 4.2551 7.4095 7.5519
angles: 108.85 90.00 90.00
Closest atoms and distances in Å follow each position.
Element x y z (fractional)
S (0.0000, 0.7250, 0.2147)  2 Dy 2.86, 1 Sr 2.99, 1 Ba 3.12
S (0.5000, 0.7433, 0.7789)  1 Dy 2.83, 2 Sr 2.98, 2 Ba 3.12
S (0.5000, 0.2567, 0.2211)  1 Dy 2.83, 2 Sr 2.98, 2 Ba 3.12
S (0.0000, 0.2750, 0.7853)  2 Dy 2.86, 1 Sr 2.99, 1 Ba 3.12
Dy (0.5000, 0.5000, 0.0000)  6 S 2.83-2.86
Ba (0.5000, 0.0000, 0.5000)  6 S 3.24-3.26
Ba (0.0000, 0.5000, 0.5000)  6 S 3.12
Sr (0.0000, 0.0000, 0.0000)  6 S 2.98-2.99

=====

VASP calculation (GGA-PBE) on an optimized crystal structure of Ba2DyTaS6.

abc: 7.0386 7.0386 13.2169
angles: 74.56 74.56 60.00
Closest atoms and distances in Å follow each position.
Element x y z (fractional)
S (0.8006, 0.2859, 0.1129)  1 Ta 2.43, 1 Dy 2.64
S (0.7141, 0.1994, 0.8871)  1 Ta 2.43, 1 Dy 2.64
S (0.1313, 0.6269, 0.6149)  1 Ta 2.48, 1 Dy 2.71
S (0.6269, 0.1313, 0.6149)  1 Ta 2.48, 1 Dy 2.71
S (0.6269, 0.6269, 0.6149)  1 Ta 2.48, 1 Dy 2.71
S (0.8006, 0.8006, 0.1129)  1 Ta 2.43, 1 Dy 2.64
S (0.8687, 0.3731, 0.3851)  1 Ta 2.48, 1 Dy 2.71
S (0.3731, 0.3731, 0.3851)  1 Ta 2.48, 1 Dy 2.71
S (0.1994, 0.1994, 0.8871)  1 Ta 2.43, 1 Dy 2.64
S (0.1994, 0.7141, 0.8871)  1 Ta 2.43, 1 Dy 2.64
S (0.2859, 0.8006, 0.1129)  1 Ta 2.43, 1 Dy 2.64
S (0.3731, 0.8687, 0.3851)  1 Ta 2.48, 1 Dy 2.71
Ba (0.6983, 0.6983, 0.9050)  9 S 3.35-3.53
Ba (0.8641, 0.8641, 0.4077)  9 S 3.32-3.53
Ba (0.1359, 0.1359, 0.5923)  9 S 3.32-3.53
Ba (0.3017, 0.3017, 0.0950)  9 S 3.35-3.53
Dy (0.5862, 0.5862, 0.2413)  6 S 2.64-2.71
Dy (0.4138, 0.4138, 0.7587)  6 S 2.64-2.71
Ta (0.5000, 0.5000, 0.5000)  6 S 2.48
Ta (0.0000, 0.0000, 0.0000)  6 S 2.43

=====

VASP calculation (GGA-PBE) on an optimized crystal structure of BaTb4DyS8.

abc: 8.2703 8.2703 8.2609
angles: 59.96 59.96 60.00
Closest atoms and distances in Å follow each position.
Element x y z (fractional)
S (0.2322, 0.2322, 0.3034)  3 Tb 2.71, 1 Ba 2.89
S (0.7579, 0.7579, 0.2561)  3 Tb 2.68-2.87, 1 Dy 2.85
S (0.7579, 0.2281, 0.2561)  3 Tb 2.68-2.87, 1 Dy 2.85
S (0.7572, 0.7572, 0.7285)  4 Tb 2.67-2.86
S (0.2314, 0.2314, 0.7335)  1 Dy 2.70, 2 Tb 2.71, 1 Ba 2.89
S (0.2314, 0.8037, 0.7335)  1 Dy 2.70, 2 Tb 2.71, 1 Ba 2.89
S (0.2281, 0.7579, 0.2561)  3 Tb 2.68-2.87, 1 Dy 2.85
S (0.8037, 0.2314, 0.7335)  1 Dy 2.70, 2 Tb 2.71, 1 Ba 2.89
Tb (0.0017, 0.0017, 0.5018)  6 S 2.71-2.87
Tb (0.0017, 0.4947, 0.5018)  6 S 2.71-2.87
Tb (0.4947, 0.0017, 0.5018)  6 S 2.71-2.87
Tb (0.6250, 0.6250, 0.1250)  4 S 2.67-2.68
Ba (0.3752, 0.3752, 0.8745)  4 S 2.89
Dy (0.0018, 0.0018, 0.9946)  6 S 2.70-2.85

=====

So what do the calculations give for mass density? Going down the list: 11.53, 7.73, 16.25, 10.23, 15.86, 8.66, 12.31, 10.69, 8.38, 8.97, 7.08, 5.73, 4.75, 5.78, 3.45, 4.42, 4.98, 4.81, 4.99, 4.96 Mg/m³.
So what do the calculations give for electronic total energy? Going down the list: -5.617, -4.754, -6.170, -5.552, -6.300, -4.844, -5.828, -6.059, -6.046, -5.717, -4.884, -5.637, -5.377, -5.703, -6.460, -5.983, -5.899, -5.366, -6.174, -6.119 eV/atom.